Record 1
Here is a geometry-optimized FeW2Cl10 structure from Alexandria via LeMat-Bulk. Energies are from PBE-GGA.

Computed properties:
E_form (uncorrected): -0.729 eV per atom
symmetry: C2/c, No. 15

Lattice parameters (Å, degrees): 6.1236 8.7883 13.1613 86.76 80.67 69.61
With the nearest neighbours (Å) after each atom.
Element x y z (fractional)
Cl  0.6933  0.9151  0.8481  1 Fe 2.32, 1 W 2.48
Cl  0.4015  0.5117  0.3521  1 W 2.31
Cl  0.2171  0.3012  0.6248  2 W 2.37-2.39
Cl  0.4818  0.3012  0.8752  2 W 2.37-2.39
Cl  0.1860  0.9089  0.3514  1 Fe 2.32, 1 W 2.41
Cl  0.5985  0.4883  0.6479  1 W 2.31
Cl  0.3067  0.0849  0.1519  1 Fe 2.32, 1 W 2.48
Cl  0.0868  0.5117  0.1479  1 W 2.31
Cl  0.2621  0.6959  0.8505  1 Fe 2.31, 1 W 2.47
Cl  0.0949  0.0911  0.8514  1 Fe 2.32, 1 W 2.41
W  0.5668  0.8664  0.2500  6 Cl 2.39-2.48
Cl  0.9051  0.9089  0.1486  1 Fe 2.32, 1 W 2.41
Fe  0.0501  0.8999  0.7500  6 Cl 2.31-2.32
W  0.2677  0.4647  0.7500  6 Cl 2.31-2.47
Cl  0.8140  0.0911  0.6486  1 Fe 2.32, 1 W 2.41
Cl  0.7829  0.6988  0.3752  2 W 2.37-2.39
Cl  0.7379  0.3041  0.1495  1 Fe 2.31, 1 W 2.47
Cl  0.9579  0.3041  0.3505  1 Fe 2.31, 1 W 2.47
Cl  0.3916  0.9151  0.6519  1 Fe 2.32, 1 W 2.48
Fe  0.9499  0.1001  0.2500  6 Cl 2.31-2.32
Cl  0.0421  0.6959  0.6495  1 Fe 2.31, 1 W 2.47
W  0.4332  0.1336  0.7500  6 Cl 2.39-2.48
Cl  0.5182  0.6988  0.1248  2 W 2.37-2.39
Cl  0.6084  0.0849  0.3481  1 Fe 2.32, 1 W 2.48
Cl  0.9132  0.4883  0.8521  1 W 2.31
W  0.7323  0.5353  0.2500  6 Cl 2.31-2.47



Record 2
Here is a geometry-optimized FeWCl structure from Alexandria via LeMat-Bulk. Energies are from PBE-GGA.

Computed properties:
E_form (uncorrected): 1.284 eV per atom
symmetry: F-43m, No. 216
energy relative to the lowest polymorph listed for this composition: 0.890 eV per atom

Lattice parameters (Å, degrees): 4.0889 4.0889 4.0889 60.00 60.00 60.00
With the nearest neighbours (Å) after each atom.
Element x y z (fractional)
Fe  0.7500  0.7500  0.7500  4 W 2.50, 4 Cl 2.50
W  0.0000  0.0000  0.0000  4 Fe 2.50
Cl  0.5000  0.5000  0.5000  4 Fe 2.50



Record order is preserved below.
Calculated density: 3.9, 9.5 Mg/m³